Material: Li2TiCrO4
Method: DFT, PBEsol
State: optimized geometry

CIF file:
```
data_Li2TiCrO4
_cell_length_a 5.797
_cell_length_b 5.854
_cell_length_c 8.128
_cell_angle_alpha 90.00
_cell_angle_beta 90.00
_cell_angle_gamma 90.00
_space_group_name_H-M_alt 'I m m a'
_space_group_IT_number 74
_space_group_name_Hall '-I 2b 2'
loop_
_atom_site_label
_atom_site_type_symbol
_atom_site_fract_x
_atom_site_fract_y
_atom_site_fract_z
_atom_site_occupancy
Li1 Li 0.000 0.000 0.000 1
Li2 Li 0.250 0.250 0.250 1
Ti1 Ti 0.250 0.250 0.750 1
Cr1 Cr 0.000 0.000 0.500 1
O1 O 0.000 0.009 0.747 1
O2 O 0.235 0.250 0.502 1
```

DOS(E_F) = 6.64 states/eV/cell
relative energy among the computed polymorphs = 4 meV/atom
E_form (uncorrected) = -227.6 kJ/mol of atoms
total DFT energy (no corrections) = -62.366 eV per formula unit